1.
A geometry-optimized AlZnSi2 structure, computed with PBE.

Lattice parameters (Å, degrees): 2.6090 4.5922 5.3557 90.00 97.07 90.00
With the nearest neighbours (Å) after each atom.
Space group Pm (No. 6)
Unique sites:
1 Al 0.0000 0.0000 0.0000 x1  2 Al 2.61, 4 Si 2.72-2.92, 4 Zn 2.72-2.84
2 Zn 0.5867 0.5000 0.1620 x1  2 Zn 2.61, 4 Si 2.70-2.90, 4 Al 2.72-2.84
3 Si 0.7523 0.0000 0.4916 x1  4 Si 2.49-2.61, 1 Al 2.72
4 Si 0.7579 0.5000 0.6701 x1  4 Si 2.49-2.61, 2 Zn 2.70-2.73

Output
The final energy is -3.7451 eV per atom. As for the relative energy among the computed polymorphs: 0.000 eV per atom.

***

2.
A geometry-optimized P2PbW structure, computed with PBE.

Lattice parameters (Å, degrees): 3.2298 3.3493 7.3029 90.00 90.00 90.00
With the nearest neighbours (Å) after each atom.
Space group Pmm2 (No. 25)
Unique sites:
1 P 0.0000 0.0000 0.0000 x1  2 W 2.41
2 P 0.0000 0.5000 0.3792 x1  4 W 2.52
3 Pb 0.5000 0.5000 0.7181 x1  6 P 2.96-3.11, 2 Pb 3.23
4 W 0.5000 0.0000 0.2449 x1  6 P 2.41-2.52

Output
For the energy of formation from the pure elements, the calculation gives 0.10 eV per atom. The final energy is -6.7706 eV per atom.